Density functional theory data (GGA-PBE) for KSrLaI6 after structural relaxation.

Properties
Energy relative to the elements, uncorrected ... -152 kJ per mole of atoms
D(E_F) ... 0.00 states/eV/f.u.
Crystal system ... trigonal
SG ... P-31c, No. 163
Energy ... -3.466 eV/atom

```
data_KSrLaI6
_cell_length_a 8.359
_cell_length_b 8.359
_cell_length_c 15.378
_cell_angle_alpha 90.00
_cell_angle_beta 90.00
_cell_angle_gamma 120.00
_symmetry_space_group_name_H-M 'P 1'
_symmetry_Int_Tables_number 1
_symmetry_space_group_name_Hall 'P 1'
loop_
_atom_site_label
_atom_site_type_symbol
_atom_site_fract_x
_atom_site_fract_y
_atom_site_fract_z
K1 K 0.000 0.000 0.000
K2 K 0.000 0.000 0.500
Sr1 Sr 0.333 0.667 0.250
Sr2 Sr 0.667 0.333 0.750
La1 La 0.333 0.667 0.750
La2 La 0.667 0.333 0.250
I1 I 0.011 0.367 0.631
I2 I 0.011 0.644 0.869
I3 I 0.356 0.367 0.869
I4 I 0.356 0.989 0.631
I5 I 0.367 0.011 0.131
I6 I 0.367 0.356 0.369
I7 I 0.633 0.644 0.631
I8 I 0.633 0.989 0.869
I9 I 0.644 0.011 0.369
I10 I 0.644 0.633 0.131
I11 I 0.989 0.356 0.131
I12 I 0.989 0.633 0.369
```